[1]
{"formula": "SrReAsSe2", "functional": "PBE", "state": "optimized geometry", "energy_ev_per_atom": -3.6276, "de_polymorph_ev_per_atom": 1.801, "density_g_cm3": 4.5, "e_form_raw_mev_per_atom": 1522, "volume_a3_per_cell": 186, "space_group": "P4/mmm (123)", "cell": [[5.657, 0.000, 0.000], [0.000, 5.657, 0.000], [0.000, 0.000, 5.808]], "species": ["Sr", "Re", "As", "Se", "Se"], "fractional_positions": [[0.000, 0.000, 0.000], [0.500, 0.500, 0.500], [0.000, 0.000, 0.500], [0.000, 0.500, 0.000], [0.500, 0.000, 0.000]]}

---

[2]
{"formula": "Al2Cr", "functional": "PBE", "state": "optimized geometry", "energy_ev_per_atom": -5.6653, "formation_energy_ev_per_fu": 0.113, "density_g_cm3": 3.9, "volume_a3_per_cell": 90, "space_group": "I4/mcm (140)", "cell": [[-3.243, 3.243, 2.142], [3.243, -3.243, 2.142], [3.243, 3.243, -2.142]], "species": ["Al", "Al", "Al", "Al", "Cr", "Cr"], "fractional_positions": [[0.153, 0.653, 0.805], [0.347, 0.153, 0.500], [0.653, 0.847, 0.500], [0.847, 0.347, 0.195], [0.250, 0.250, 0.000], [0.750, 0.750, 0.000]]}

---

[3]
{"formula": "Dy2Ni2Ge3", "functional": "PBE", "state": "optimized geometry", "energy_ev_per_atom": -5.6771, "de_polymorph_ev_per_atom": 0.000, "formation_energy_ev_per_fu": -5.121, "density_g_cm3": 8.8, "volume_a3_per_cell": 248, "space_group": "Cmcm (63)", "cell": [[2.072, -8.895, 0.000], [2.072, 8.895, 0.000], [0.000, 0.000, 6.731]], "species": ["Dy", "Dy", "Dy", "Dy", "Ni", "Ni", "Ni", "Ni", "Ge", "Ge", "Ge", "Ge", "Ge", "Ge"], "fractional_positions": [[0.051, 0.949, 0.750], [0.159, 0.841, 0.250], [0.841, 0.159, 0.750], [0.949, 0.051, 0.250], [0.302, 0.698, 0.054], [0.302, 0.698, 0.446], [0.698, 0.302, 0.554], [0.698, 0.302, 0.946], [0.222, 0.778, 0.750], [0.433, 0.567, 0.559], [0.433, 0.567, 0.941], [0.567, 0.433, 0.059], [0.567, 0.433, 0.441], [0.778, 0.222, 0.250]]}

---

[4]
{"formula": "LaMg2Al2Ag", "functional": "PBE", "state": "optimized geometry", "energy_ev_per_atom": -2.8756, "formation_energy_ev_per_fu": 1.200, "density_g_cm3": 3.6, "volume_a3_per_cell": 161, "space_group": "I4/mmm (139)", "cell": [[-2.650, 2.650, 5.716], [2.650, -2.650, 5.716], [2.650, 2.650, -5.716]], "species": ["La", "Mg", "Mg", "Al", "Al", "Ag"], "fractional_positions": [[0.000, 0.000, 0.000], [0.250, 0.750, 0.500], [0.750, 0.250, 0.500], [0.285, 0.285, 0.000], [0.715, 0.715, 0.000], [0.500, 0.500, 0.000]]}

---

[5]
{"formula": "Pu3FeGe", "functional": "PBE", "state": "optimized geometry", "energy_ev_per_atom": -11.3571, "formation_energy_ev_per_fu": -0.710, "density_g_cm3": 14.4, "volume_a3_per_cell": 199, "space_group": "P-1 (2)", "cell": [[4.712, 0.000, 0.000], [0.095, 5.683, 0.000], [0.145, 1.711, 7.432]], "species": ["Pu", "Pu", "Pu", "Pu", "Pu", "Pu", "Fe", "Fe", "Ge", "Ge"], "fractional_positions": [[0.211, 0.207, 0.447], [0.238, 0.765, 0.213], [0.247, 0.323, 0.961], [0.753, 0.677, 0.039], [0.762, 0.235, 0.787], [0.789, 0.793, 0.553], [0.328, 0.597, 0.605], [0.672, 0.403, 0.395], [0.263, 0.880, 0.811], [0.737, 0.120, 0.189]]}

---

[6]
{"formula": "SrAg2Rh", "functional": "PBE", "state": "optimized geometry", "energy_ev_per_atom": -3.6234, "de_polymorph_ev_per_atom": 0.137, "formation_energy_ev_per_fu": 0.242, "density_g_cm3": 7.9, "volume_a3_per_cell": 86, "space_group": "P4mm (99)", "cell": [[3.585, 0.000, 0.000], [0.000, 3.585, 0.000], [0.000, 0.000, 6.670]], "species": ["Sr", "Ag", "Ag", "Rh"], "fractional_positions": [[0.000, 0.000, 0.000], [0.000, 0.000, 0.528], [0.500, 0.500, 0.323], [0.500, 0.500, 0.739]]}

---

[7]
{"formula": "MgScHg2N", "functional": "PBE", "state": "optimized geometry", "energy_ev_per_atom": -1.9281, "density_g_cm3": 5.8, "e_form_raw_mev_per_atom": 1443, "volume_a3_per_cell": 138, "space_group": "P4/mmm (123)", "cell": [[4.955, 0.000, 0.000], [0.000, 4.955, 0.000], [0.000, 0.000, 5.629]], "species": ["Mg", "Sc", "Hg", "Hg", "N"], "fractional_positions": [[0.000, 0.000, 0.000], [0.000, 0.000, 0.500], [0.000, 0.500, 0.000], [0.500, 0.000, 0.000], [0.500, 0.500, 0.500]]}

---

[8]
{"formula": "CuAu4Cl", "functional": "PBE", "state": "optimized geometry", "energy_ev_per_atom": -2.8985, "density_g_cm3": 12.3, "e_form_raw_mev_per_atom": 277, "volume_a3_per_cell": 120, "space_group": "F-43m (216)", "cell": [[0.000, 3.915, 3.915], [3.915, 0.000, 3.915], [3.915, 3.915, 0.000]], "species": ["Cu", "Au", "Au", "Au", "Au", "Cl"], "fractional_positions": [[0.000, 0.000, 0.000], [0.124, 0.625, 0.625], [0.625, 0.124, 0.625], [0.625, 0.625, 0.124], [0.625, 0.625, 0.625], [0.250, 0.250, 0.250]]}

---

[9]
{"formula": "CoSbSe", "functional": "PBE", "state": "optimized geometry", "energy_ev_per_atom": -4.8445, "density_g_cm3": 7.2, "e_form_raw_mev_per_atom": 60, "volume_a3_per_cell": 60, "space_group": "I4mm (107)", "cell": [[-1.540, 1.540, 6.272], [1.540, -1.540, 6.272], [1.540, 1.540, -6.272]], "species": ["Co", "Sb", "Se"], "fractional_positions": [[0.000, 0.000, 0.000], [0.352, 0.352, 0.000], [0.593, 0.593, 0.000]]}

---

[10]
{"formula": "Dy2Ho3Se6", "functional": "PBE", "state": "optimized geometry", "energy_ev_per_atom": -5.8396, "de_polymorph_ev_per_atom": 0.000, "density_g_cm3": 7.7, "e_form_raw_mev_per_atom": -1854, "volume_a3_per_cell": 281, "space_group": "C2/m (12)", "cell": [[3.513, -6.056, 0.000], [3.513, 6.056, 0.000], [-2.337, 0.000, 6.599]], "species": ["Dy", "Dy", "Ho", "Ho", "Ho", "Se", "Se", "Se", "Se", "Se", "Se"], "fractional_positions": [[0.165, 0.835, 0.000], [0.835, 0.165, 0.000], [0.000, 0.000, 0.500], [0.334, 0.666, 0.500], [0.666, 0.334, 0.500], [0.089, 0.417, 0.751], [0.255, 0.255, 0.246], [0.417, 0.089, 0.751], [0.583, 0.911, 0.249], [0.745, 0.745, 0.754], [0.911, 0.583, 0.249]]}

---

[11]
{"formula": "Ac2PuGa3Pd4", "functional": "PBE", "state": "optimized geometry", "energy_ev_per_atom": -5.9617, "formation_energy_ev_per_fu": -7.217, "density_g_cm3": 9.9, "volume_a3_per_cell": 223, "space_group": "P-4m2 (115)", "cell": [[4.507, 0.000, 0.000], [0.000, 4.507, 0.000], [0.000, 0.000, 10.967]], "species": ["Ac", "Ac", "Pu", "Ga", "Ga", "Ga", "Pd", "Pd", "Pd", "Pd"], "fractional_positions": [[0.000, 0.500, 0.233], [0.500, 0.000, 0.767], [0.000, 0.000, 0.500], [0.000, 0.500, 0.887], [0.500, 0.000, 0.113], [0.500, 0.500, 0.500], [0.000, 0.000, 0.000], [0.000, 0.500, 0.654], [0.500, 0.000, 0.346], [0.500, 0.500, 0.000]]}

---

[12]
{"formula": "Na8Pt", "functional": "PBE", "state": "optimized geometry", "energy_ev_per_atom": -1.8449, "formation_energy_ev_per_fu": -0.011, "density_g_cm3": 2.4, "volume_a3_per_cell": 263, "space_group": "I4/mmm (139)", "cell": [[-5.187, 5.187, 2.442], [5.187, -5.187, 2.442], [5.187, 5.187, -2.442]], "species": ["Na", "Na", "Na", "Na", "Na", "Na", "Na", "Na", "Pt"], "fractional_positions": [[0.000, 0.305, 0.305], [0.000, 0.695, 0.695], [0.305, 0.000, 0.305], [0.354, 0.354, 0.707], [0.354, 0.646, 0.000], [0.646, 0.354, 0.000], [0.646, 0.646, 0.293], [0.695, 0.000, 0.695], [0.000, 0.000, 0.000]]}

---

[13]
{"formula": "TmReC2", "functional": "PBE", "state": "optimized geometry", "energy_ev_per_atom": -8.8818, "de_polymorph_ev_per_atom": 0.177, "formation_energy_ev_per_fu": -0.160, "density_g_cm3": 13.1, "volume_a3_per_cell": 48, "space_group": "R-3m (166)", "cell": [[1.599, 0.923, 5.407], [-1.599, 0.923, 5.407], [0.000, -1.846, 5.407]], "species": ["Tm", "Re", "C", "C"], "fractional_positions": [[0.000, 0.000, 0.000], [0.500, 0.500, 0.500], [0.239, 0.239, 0.239], [0.761, 0.761, 0.761]]}

---

[14]
{"formula": "TcTeRuSe2", "functional": "PBE", "state": "optimized geometry", "energy_ev_per_atom": -5.0621, "density_g_cm3": 7.1, "e_form_raw_mev_per_atom": 888, "volume_a3_per_cell": 114, "space_group": "P4/mmm (123)", "cell": [[4.835, 0.000, 0.000], [0.000, 4.835, 0.000], [0.000, 0.000, 4.880]], "species": ["Tc", "Te", "Ru", "Se", "Se"], "fractional_positions": [[0.000, 0.000, 0.000], [0.500, 0.500, 0.000], [0.000, 0.000, 0.500], [0.000, 0.500, 0.500], [0.500, 0.000, 0.500]]}

---

[15]
{"formula": "Sm3MgTl2", "functional": "PBE", "state": "optimized geometry", "energy_ev_per_atom": -3.7143, "de_polymorph_ev_per_atom": 0.000, "formation_energy_ev_per_fu": -1.801, "density_g_cm3": 8.5, "volume_a3_per_cell": 344, "space_group": "P-3m1 (164)", "cell": [[5.450, 0.000, 0.000], [-2.725, 4.720, 0.000], [0.000, 0.000, 13.360]], "species": ["Sm", "Sm", "Sm", "Sm", "Sm", "Sm", "Mg", "Mg", "Tl", "Tl", "Tl", "Tl"], "fractional_positions": [[0.000, 0.000, 0.248], [0.000, 0.000, 0.752], [0.333, 0.667, 0.419], [0.333, 0.667, 0.919], [0.667, 0.333, 0.081], [0.667, 0.333, 0.581], [0.333, 0.667, 0.669], [0.667, 0.333, 0.331], [0.000, 0.000, 0.000], [0.000, 0.000, 0.500], [0.333, 0.667, 0.177], [0.667, 0.333, 0.823]]}

---

[16]
{"formula": "KNb2Pt2", "functional": "PBE", "state": "optimized geometry", "energy_ev_per_atom": -6.8483, "de_polymorph_ev_per_atom": 0.000, "formation_energy_ev_per_fu": -0.923, "density_g_cm3": 10.4, "volume_a3_per_cell": 196, "space_group": "P4/mbm (127)", "cell": [[8.386, 0.000, 0.000], [0.000, 8.386, 0.000], [0.000, 0.000, 2.786]], "species": ["K", "K", "Nb", "Nb", "Nb", "Nb", "Pt", "Pt", "Pt", "Pt"], "fractional_positions": [[0.000, 0.000, 0.000], [0.500, 0.500, 0.000], [0.118, 0.382, 0.000], [0.382, 0.882, 0.000], [0.618, 0.118, 0.000], [0.882, 0.618, 0.000], [0.172, 0.672, 0.500], [0.328, 0.172, 0.500], [0.672, 0.828, 0.500], [0.828, 0.328, 0.500]]}

---

[17]
{"formula": "BaBeRh2", "functional": "PBE", "state": "optimized geometry", "energy_ev_per_atom": -5.2756, "formation_energy_ev_per_fu": -0.751, "density_g_cm3": 6.6, "volume_a3_per_cell": 89, "space_group": "Cm (8)", "cell": [[3.707, -2.140, 0.000], [3.707, 2.140, 0.000], [-2.457, 0.000, 5.587]], "species": ["Ba", "Be", "Rh", "Rh"], "fractional_positions": [[0.000, 0.000, 0.000], [0.820, 0.820, 0.462], [0.181, 0.181, 0.545], [0.495, 0.495, 0.486]]}

---

[18]
{"formula": "CsNaN2F", "functional": "PBE", "state": "optimized geometry", "energy_ev_per_atom": -3.0406, "density_g_cm3": 2.6, "e_form_raw_mev_per_atom": 1098, "volume_a3_per_cell": 131, "space_group": "P4/mmm (123)", "cell": [[4.904, 0.000, 0.000], [0.000, 4.904, 0.000], [0.000, 0.000, 5.430]], "species": ["Cs", "Na", "N", "N", "F"], "fractional_positions": [[0.000, 0.000, 0.000], [0.500, 0.500, 0.500], [0.000, 0.500, 0.000], [0.500, 0.000, 0.000], [0.000, 0.000, 0.500]]}

---

[19]
{"formula": "Er8Tm4Sc", "functional": "PBE", "state": "optimized geometry", "energy_ev_per_atom": -4.4654, "formation_energy_ev_per_fu": 2.670, "density_g_cm3": 8.7, "volume_a3_per_cell": 394, "space_group": "C2/m (12)", "cell": [[6.208, -3.588, 0.000], [6.208, 3.588, 0.000], [-4.131, 0.000, 8.849]], "species": ["Er", "Er", "Er", "Er", "Er", "Er", "Er", "Er", "Tm", "Tm", "Tm", "Tm", "Sc"], "fractional_positions": [[0.199, 0.747, 0.692], [0.218, 0.218, 0.652], [0.253, 0.253, 0.308], [0.253, 0.801, 0.308], [0.747, 0.199, 0.692], [0.747, 0.747, 0.692], [0.782, 0.782, 0.348], [0.801, 0.253, 0.308], [0.000, 0.000, 0.000], [0.000, 0.500, 0.000], [0.500, 0.000, 0.000], [0.500, 0.500, 0.000], [0.500, 0.500, 0.500]]}

---

[20]
{"formula": "Pm2Ga5Ir5", "functional": "PBE", "state": "optimized geometry", "energy_ev_per_atom": -6.2696, "formation_energy_ev_per_fu": -6.295, "density_g_cm3": 12.3, "volume_a3_per_cell": 215, "space_group": "Pmmm (47)", "cell": [[4.203, 0.000, 0.000], [0.000, 5.435, 0.000], [0.000, 0.000, 9.428]], "species": ["Pm", "Pm", "Ga", "Ga", "Ga", "Ga", "Ga", "Ir", "Ir", "Ir", "Ir", "Ir"], "fractional_positions": [[0.000, 0.000, 0.000], [0.000, 0.500, 0.500], [0.500, 0.000, 0.500], [0.500, 0.249, 0.241], [0.500, 0.249, 0.759], [0.500, 0.751, 0.241], [0.500, 0.751, 0.759], [0.000, 0.000, 0.330], [0.000, 0.000, 0.670], [0.000, 0.500, 0.186], [0.000, 0.500, 0.814], [0.500, 0.500, 0.000]]}